Entry 1:
CsBa3Au | PBEsol | relaxed

## Properties
- symmetry = Pm-3m, No. 221

a = 6.5254 Å, b = 6.5254 Å, c = 6.5254 Å
α = 90.00°, β = 90.00°, γ = 90.00°
Sites, in units of the cell vectors:
1 Ba 0.0000 0.5000 0.0000
2 Au 0.0000 0.0000 0.0000
3 Ba 0.0000 0.0000 0.5000
4 Ba 0.5000 0.0000 0.0000
5 Cs 0.5000 0.5000 0.5000

=====

Entry 2:
TaSi2Tc | PBEsol | relaxed

## Properties
- energy above the most stable polymorph in this dataset (kJ/mol of atoms) = 0.0
- formation energy without anion corrections (meV/atom) = -562
- symmetry = P4mm, No. 99

a = 3.1190 Å, b = 3.1190 Å, c = 5.7524 Å
α = 90.00°, β = 90.00°, γ = 90.00°
Sites, in units of the cell vectors:
1 Si 0.0000 0.0000 0.9907
2 Tc 0.5000 0.5000 0.7923
3 Si 0.5000 0.5000 0.2334
4 Ta 0.0000 0.0000 0.4836

=====

Entry 3:
LaTl2Pt | PBEsol | relaxed

## Properties
- symmetry = Immm, No. 71

a = 3.6054 Å, b = 5.0866 Å, c = 6.1535 Å
α = 114.41°, β = 107.04°, γ = 90.00°
Sites, in units of the cell vectors:
1 Tl 0.2843 0.2843 0.5685
2 Tl 0.7157 0.7157 0.4315
3 Pt 0.0000 0.5000 0.0000
4 La 0.5000 0.0000 0.0000

=====

Entry 4:
BaCa2Cd2 | PBEsol | relaxed

## Properties
- energy above the most stable polymorph in this dataset (kJ/mol of atoms) = 3.7
- symmetry = I4/mmm, No. 139

a = 5.1113 Å, b = 5.1113 Å, c = 7.7184 Å
α = 109.34°, β = 109.34°, γ = 90.00°
Sites, in units of the cell vectors:
1 Ca 0.7500 0.2500 0.5000
2 Ba 0.0000 0.0000 0.0000
3 Ca 0.2500 0.7500 0.5000
4 Cd 0.6029 0.6029 0.2058
5 Cd 0.3971 0.3971 0.7942

=====

Entry 5:
Zr5Sn3As | PBEsol | relaxed

## Properties
- symmetry = P6_3/mcm, No. 193

a = 5.8788 Å, b = 8.5769 Å, c = 8.5769 Å
α = 120.00°, β = 90.00°, γ = 90.00°
Sites, in units of the cell vectors:
1 Sn 0.2500 0.3951 0.3951
2 Zr 0.7500 0.7386 0.0000
3 Zr 0.5000 0.3333 0.6667
4 Zr 0.2500 0.7386 0.7386
5 Zr 0.7500 0.0000 0.7386
6 Zr 0.0000 0.3333 0.6667
7 Zr 0.7500 0.2614 0.2614
8 Zr 0.2500 0.2614 0.0000
9 Sn 0.2500 0.6049 0.0000
10 Sn 0.2500 0.0000 0.6049
11 Sn 0.7500 0.3951 0.0000
12 As 0.5000 0.0000 0.0000
13 Zr 0.5000 0.6667 0.3333
14 As 0.0000 0.0000 0.0000
15 Zr 0.2500 0.0000 0.2614
16 Sn 0.7500 0.0000 0.3951
17 Zr 0.0000 0.6667 0.3333
18 Sn 0.7500 0.6049 0.6049

=====

Entry 6:
SrH3S | PBEsol | relaxed

## Properties
- symmetry = Pm-3m, No. 221

a = 3.8767 Å, b = 3.8767 Å, c = 3.8767 Å
α = 90.00°, β = 90.00°, γ = 90.00°
Sites, in units of the cell vectors:
1 Sr 0.5000 0.5000 0.5000
2 H 0.5000 0.0000 0.0000
3 H 0.0000 0.0000 0.5000
4 H 0.0000 0.5000 0.0000
5 S 0.0000 0.0000 0.0000

=====

Entry 7:
AgAsBr2 | PBEsol | relaxed

## Properties
- energy above the most stable polymorph in this dataset (kJ/mol of atoms) = 0.0
- formation energy without anion corrections (meV/atom) = 139
- symmetry = P2/m, No. 10

a = 3.3080 Å, b = 4.1297 Å, c = 7.1132 Å
α = 90.00°, β = 103.18°, γ = 90.00°
Sites, in units of the cell vectors:
1 Br 0.1121 0.0000 0.2572
2 As 0.0000 0.5000 0.0000
3 Br 0.8879 0.0000 0.7428
4 Ag 0.0000 0.5000 0.5000

=====

Entry 8:
Sr2SbMo | PBEsol | relaxed

## Properties
- formation energy without anion corrections (meV/atom) = 102
- symmetry = P4mm, No. 99

a = 3.6297 Å, b = 3.6297 Å, c = 9.0800 Å
α = 90.00°, β = 90.00°, γ = 90.00°
Sites, in units of the cell vectors:
1 Sb 0.5000 0.5000 0.6840
2 Sr 0.5000 0.5000 0.3234
3 Mo 0.0000 0.0000 0.5667
4 Sr 0.0000 0.0000 0.9259

=====

Entry 9:
ScIr3 | PBEsol | relaxed

## Properties
- symmetry = Fm-3m, No. 225

a = 4.4228 Å, b = 4.4228 Å, c = 4.4228 Å
α = 60.00°, β = 60.00°, γ = 60.00°
Sites, in units of the cell vectors:
1 Ir 0.7500 0.7500 0.7500
2 Ir 0.5000 0.5000 0.5000
3 Ir 0.2500 0.2500 0.2500
4 Sc 0.0000 0.0000 0.0000

=====

Entry 10:
AgHgAs3 | PBEsol | relaxed

## Properties
- symmetry = Pm-3m, No. 221

a = 4.9473 Å, b = 4.9473 Å, c = 4.9473 Å
α = 90.00°, β = 90.00°, γ = 90.00°
Sites, in units of the cell vectors:
1 As 0.0000 0.5000 0.0000
2 As 0.0000 0.0000 0.5000
3 As 0.5000 0.0000 0.0000
4 Ag 0.0000 0.0000 0.0000
5 Hg 0.5000 0.5000 0.5000

=====

Entry 11:
Tc2ClF2 | PBEsol | relaxed

## Properties
- formation energy without anion corrections (meV/atom) = -468
- symmetry = I4/mmm, No. 139

a = 3.9024 Å, b = 3.9024 Å, c = 5.3888 Å
α = 111.23°, β = 111.23°, γ = 90.00°
Sites, in units of the cell vectors:
1 Tc 0.6053 0.6053 0.2106
2 Cl 0.0000 0.0000 0.0000
3 Tc 0.3947 0.3947 0.7894
4 F 0.7500 0.2500 0.5000
5 F 0.2500 0.7500 0.5000

=====

Entry 12:
TaCr3F | PBEsol | relaxed

## Properties
- energy above the most stable polymorph in this dataset (kJ/mol of atoms) = 0.0
- formation energy without anion corrections (meV/atom) = 346
- symmetry = Pm-3m, No. 221

a = 3.9253 Å, b = 3.9253 Å, c = 3.9253 Å
α = 90.00°, β = 90.00°, γ = 90.00°
Sites, in units of the cell vectors:
1 Cr 0.0000 0.0000 0.5000
2 Ta 0.5000 0.5000 0.5000
3 Cr 0.0000 0.5000 0.0000
4 Cr 0.5000 0.0000 0.0000
5 F 0.0000 0.0000 0.0000

=====

The following total moment values (in μB/cell) correspond, in order, to the records above: 0.0, 0.0, 0.0, 0.0, 0.0, 0.0, 0.0, 0.5, 0.7, 0.0, 1.1, 2.5.
The following DOS at the Fermi energy values (in states/eV/atom) correspond, in order, to the records above: 0.8978, 0.1500, 0.5369, 1.3039, 0.4307, 0.2427, 0.3787, 1.0085, 2.1667, 0.8677, 0.5804, 1.1183.
The following VASP energy values (in eV/atom) correspond, in order, to the records above: -2.484, -9.389, -4.809, -1.951, -7.890, -3.120, -2.900, -4.900, -9.088, -2.944, -6.147, -8.695.